MnCrPtW | GGA-PBE | relaxed

a = 4.3230 Å, b = 4.3230 Å, c = 4.3230 Å
α = 60.00°, β = 60.00°, γ = 60.00°
Closest atoms and distances in Å follow each position.
Element x y z (fractional)
Cr (0.0000, 0.0000, 0.0000)  4 W 2.65, 4 Pt 2.65
Mn (0.5000, 0.5000, 0.5000)  4 W 2.65, 4 Pt 2.65
W (0.7500, 0.7500, 0.7500)  4 Cr 2.65, 4 Mn 2.65
Pt (0.2500, 0.2500, 0.2500)  4 Cr 2.65, 4 Mn 2.65

- Energy of formation from the pure elements: -2 kJ/mol of atoms